Record 1
CeDyCu2Si2: optimized geometry, PBE.

- Uncorrected formation energy: -59.76 kJ per mole of atoms
- Density of states at the Fermi level: 6.05 states/eV/f.u.

Cell and atoms, written as CIF:
```
data_CeDyCu2Si2
_symmetry_space_group_name_H-M 'P -3 m 1'
_symmetry_Int_Tables_number 164
_symmetry_space_group_name_Hall '-P 3 2"'
_cell_length_a 4.1500
_cell_length_b 4.1500
_cell_length_c 7.7214
_cell_angle_alpha 90.00
_cell_angle_beta 90.00
_cell_angle_gamma 120.00
loop_
_atom_site_label
_atom_site_type_symbol
_atom_site_fract_x
_atom_site_fract_y
_atom_site_fract_z
Ce1 Ce 0.0000 0.0000 0.0000
Dy1 Dy 0.0000 0.0000 0.5000
Cu1 Cu 0.3333 0.6667 0.2585
Si1 Si 0.3333 0.6667 0.7460
```

=====

Record 2
Ce2DyCu2Si2: optimized geometry, PBE.

- Uncorrected formation energy: -48.83 kJ per mole of atoms
- Density of states at the Fermi level: 8.50 states/eV/f.u.

Cell and atoms, written as CIF:
```
data_Ce2DyCu2Si2
_symmetry_space_group_name_H-M 'R -3 m'
_symmetry_Int_Tables_number 166
_symmetry_space_group_name_Hall '-R 3 2"'
_cell_length_a 4.1548
_cell_length_b 4.1548
_cell_length_c 27.1586
_cell_angle_alpha 90.00
_cell_angle_beta 90.00
_cell_angle_gamma 120.00
loop_
_atom_site_label
_atom_site_type_symbol
_atom_site_fract_x
_atom_site_fract_y
_atom_site_fract_z
Ce1 Ce 0.0000 0.0000 0.1394
Dy1 Dy 0.0000 0.0000 0.0000
Cu1 Cu 0.0000 0.0000 0.4025
Si1 Si 0.0000 0.0000 0.2636
```

=====

Record 3
CeDyCuSn: optimized geometry, PBE.

- Total DFT energy (no corrections): -5.00 eV per atom
- Density of states at the Fermi level: 10.09 states/eV/f.u.

Cell and atoms, written as CIF:
```
data_CeDyCuSn
_symmetry_space_group_name_H-M 'F -4 3 m'
_symmetry_Int_Tables_number 216
_symmetry_space_group_name_Hall 'F -4 2 3'
_cell_length_a 7.3825
_cell_length_b 7.3825
_cell_length_c 7.3825
_cell_angle_alpha 90.00
_cell_angle_beta 90.00
_cell_angle_gamma 90.00
loop_
_atom_site_label
_atom_site_type_symbol
_atom_site_fract_x
_atom_site_fract_y
_atom_site_fract_z
Ce1 Ce 0.0000 0.0000 0.0000
Dy1 Dy 0.0000 0.0000 0.5000
Cu1 Cu 0.2500 0.2500 0.7500
Sn1 Sn 0.2500 0.2500 0.2500
```

=====

Record 4
CeDyTlCu: optimized geometry, PBE.

- Total DFT energy (no corrections): -4.38 eV per atom
- Density of states at the Fermi level: 10.02 states/eV/f.u.

Cell and atoms, written as CIF:
```
data_CeDyTlCu
_symmetry_space_group_name_H-M 'F -4 3 m'
_symmetry_Int_Tables_number 216
_symmetry_space_group_name_Hall 'F -4 2 3'
_cell_length_a 7.4233
_cell_length_b 7.4233
_cell_length_c 7.4233
_cell_angle_alpha 90.00
_cell_angle_beta 90.00
_cell_angle_gamma 90.00
loop_
_atom_site_label
_atom_site_type_symbol
_atom_site_fract_x
_atom_site_fract_y
_atom_site_fract_z
Ce1 Ce 0.0000 0.0000 0.0000
Dy1 Dy 0.0000 0.0000 0.5000
Tl1 Tl 0.2500 0.2500 0.2500
Cu1 Cu 0.2500 0.2500 0.7500
```

=====

Record 5
CeErCu: optimized geometry, PBE.

- Total DFT energy (no corrections): -4.74 eV per atom
- Density of states at the Fermi level: 6.04 states/eV/f.u.

Cell and atoms, written as CIF:
```
data_CeErCu
_symmetry_space_group_name_H-M 'P 3 m 1'
_symmetry_Int_Tables_number 156
_cell_length_a 4.8034
_cell_length_b 4.8034
_cell_length_c 3.5644
_cell_angle_alpha 90.00
_cell_angle_beta 90.00
_cell_angle_gamma 120.00
loop_
_symmetry_equiv_pos_as_xyz
'x,y,z'
'-y,x-y,z'
'-x+y,-x,z'
'-y,-x,z'
'-x+y,y,z'
'x,x-y,z'
loop_
_atom_site_label
_atom_site_type_symbol
_atom_site_fract_x
_atom_site_fract_y
_atom_site_fract_z
Ce1 Ce 0.0000 0.0000 0.0000
Er1 Er 0.3333 0.6667 0.4314
Cu1 Cu 0.6667 0.3333 0.6572
```

=====

Record 6
CeErCu10: optimized geometry, PBE.

- Total DFT energy (no corrections): -4.44 eV per atom
- Density of states at the Fermi level: 11.95 states/eV/f.u.

Cell and atoms, written as CIF:
```
data_CeErCu10
_symmetry_space_group_name_H-M 'P m m m'
_symmetry_Int_Tables_number 47
_cell_length_a 4.1122
_cell_length_b 5.0672
_cell_length_c 8.7108
_cell_angle_alpha 90.00
_cell_angle_beta 90.00
_cell_angle_gamma 90.00
loop_
_symmetry_equiv_pos_as_xyz
'x,y,z'
'-x,-y,-z'
'-x,-y,z'
'x,y,-z'
'x,-y,-z'
'-x,y,z'
'-x,y,-z'
'x,-y,z'
loop_
_atom_site_label
_atom_site_type_symbol
_atom_site_fract_x
_atom_site_fract_y
_atom_site_fract_z
Ce1 Ce 0.0000 0.0000 0.0000
Er1 Er 0.0000 0.5000 0.5000
Cu1 Cu 0.0000 0.0000 0.3367
Cu2 Cu 0.0000 0.5000 0.1701
Cu3 Cu 0.5000 0.0000 0.5000
Cu4 Cu 0.5000 0.2524 0.2536
Cu5 Cu 0.5000 0.5000 0.0000
```

=====

Record 7
CeEr2Cu: optimized geometry, PBE.

- Total DFT energy (no corrections): -4.72 eV per atom
- Density of states at the Fermi level: 7.62 states/eV/f.u.

Cell and atoms, written as CIF:
```
data_CeEr2Cu
_symmetry_space_group_name_H-M 'R -3 m'
_symmetry_Int_Tables_number 166
_symmetry_space_group_name_Hall '-R 3 2"'
_cell_length_a 3.4991
_cell_length_b 3.4991
_cell_length_c 29.5897
_cell_angle_alpha 90.00
_cell_angle_beta 90.00
_cell_angle_gamma 120.00
loop_
_atom_site_label
_atom_site_type_symbol
_atom_site_fract_x
_atom_site_fract_y
_atom_site_fract_z
Ce1 Ce 0.0000 0.0000 0.0000
Er1 Er 0.0000 0.0000 0.2357
Cu1 Cu 0.0000 0.0000 0.5000
```

=====

Record 8
CeEr2Cu6: optimized geometry, PBE.

- Total DFT energy (no corrections): -4.62 eV per atom
- Density of states at the Fermi level: 10.40 states/eV/f.u.

Cell and atoms, written as CIF:
```
data_CeEr2Cu6
_symmetry_space_group_name_H-M 'P 6/m m m'
_symmetry_Int_Tables_number 191
_symmetry_space_group_name_Hall '-P 6 2'
_cell_length_a 7.3874
_cell_length_b 7.3874
_cell_length_c 3.4814
_cell_angle_alpha 90.00
_cell_angle_beta 90.00
_cell_angle_gamma 120.00
loop_
_atom_site_label
_atom_site_type_symbol
_atom_site_fract_x
_atom_site_fract_y
_atom_site_fract_z
Ce1 Ce 0.0000 0.0000 0.0000
Er1 Er 0.3333 0.6667 0.0000
Cu1 Cu 0.0000 0.3354 0.5000
```

=====

> What is the density of states at the Fermi level in the second record?

8.50 states/eV/f.u.

=====

> Number 5 is which compound?

CeErCu

=====

> Look up the density of states at the Fermi level of the second one.

8.50 states/eV/f.u.